[1]
An optimized crystal structure of Li3Dy2ZnCu12. Source: Alexandria, functional GGA-PBE.

Summary:
- crystal system = trigonal
- Fermi-level density of states (states/eV/f.u.) = 7.63
- uncorrected energy (eV/atom) = -3.62
- spin magnetization (μB per cell) = 0.000
- ρ (g/cm³) = 7.2

Structure (CIF):
```
data_Li3Dy2ZnCu12
_chemical_formula_sum 'Li9 Dy6 Zn3 Cu36'
_symmetry_space_group_name_H-M 'R -3 m'
_symmetry_Int_Tables_number 166
_symmetry_space_group_name_Hall '-R 3 2"'
_cell_length_a 8.6362
_cell_length_b 8.6362
_cell_length_c 12.4956
_cell_angle_alpha 90.00
_cell_angle_beta 90.00
_cell_angle_gamma 120.00
loop_
_atom_site_label
_atom_site_fract_x
_atom_site_fract_y
_atom_site_fract_z
Li1 0.0000 0.5000 0.0000
Dy1 0.0000 0.0000 0.2125
Zn1 0.0000 0.0000 0.5000
Cu1 0.0182 0.5091 0.2099
Cu2 0.0460 0.5230 0.5997
```


[2]
An optimized crystal structure of LiSeBr2O. Source: Alexandria, functional GGA-PBE.

Summary:
- crystal system = tetragonal
- Fermi-level density of states (states/eV/f.u.) = 2.01
- uncorrected energy (eV/atom) = -2.73
- spin magnetization (μB per cell) = 0.000
- ρ (g/cm³) = 4.2
- energy above the most stable polymorph in this dataset (eV/atom) = 0.000

Structure (CIF):
```
data_LiSeBr2O
_chemical_formula_sum 'Li1 Se1 Br2 O1'
_symmetry_space_group_name_H-M 'P 4/m m m'
_symmetry_Int_Tables_number 123
_symmetry_space_group_name_Hall '-P 4 2'
_cell_length_a 4.9257
_cell_length_b 4.9257
_cell_length_c 4.2986
_cell_angle_alpha 90.00
_cell_angle_beta 90.00
_cell_angle_gamma 90.00
loop_
_atom_site_label
_atom_site_fract_x
_atom_site_fract_y
_atom_site_fract_z
Li1 0.0000 0.0000 0.0000
Se1 0.5000 0.5000 0.0000
Br1 0.0000 0.5000 0.5000
O1 0.5000 0.5000 0.5000
```